Arrangement one

The following is a DFT calculation (PBE-GGA) of NaBiRu after structural relaxation.

Fermi-level density of states (states/eV per cell): 7.9

Cell lengths 4.008, 15.630, 4.635 Å; angles 90.00, 90.00, 90.00 degrees
Fractional coordinates of all 12 atoms:
Na: 0.000 0.172 0.000
Na: 0.000 0.828 0.000
Na: 0.500 0.328 0.500
Na: 0.500 0.672 0.500
Bi: 0.000 0.389 0.990
Bi: 0.000 0.611 0.990
Bi: 0.500 0.111 0.490
Bi: 0.500 0.889 0.490
Ru: 0.000 0.000 0.694
Ru: 0.000 0.500 0.528
Ru: 0.500 0.000 0.028
Ru: 0.500 0.500 0.194

***

Arrangement two

The following is a DFT calculation (PBE-GGA) of NaBiRu after structural relaxation.

Fermi-level density of states (states/eV per cell): 1.4

Cell lengths 4.485, 4.485, 7.157 Å; angles 90.00, 90.00, 90.00 degrees
Fractional coordinates of all 6 atoms:
Na: 0.250 0.250 0.185
Na: 0.750 0.750 0.815
Bi: 0.250 0.250 0.714
Bi: 0.750 0.750 0.286
Ru: 0.250 0.750 0.500
Ru: 0.750 0.250 0.500

***

arrangement two is the most stable structure; the next one sits 0.114 eV/atom above it.

***

Arrangement one

The following is a DFT calculation (PBE-GGA) of Na3BiS3 after structural relaxation.

Fermi-level density of states (states/eV per cell): 0.0

Cell lengths 7.266, 7.266, 7.677 Å; angles 95.97, 95.97, 110.49 degrees
Fractional coordinates of all 14 atoms:
Na: 0.168 0.832 0.000
Na: 0.199 0.801 0.500
Na: 0.348 0.348 0.880
Na: 0.652 0.652 0.120
Na: 0.801 0.199 0.500
Na: 0.832 0.168 0.000
Bi: 0.288 0.288 0.383
Bi: 0.712 0.712 0.617
S: 0.023 0.023 0.740
S: 0.225 0.540 0.206
S: 0.460 0.775 0.794
S: 0.540 0.225 0.206
S: 0.775 0.460 0.794
S: 0.977 0.977 0.260

***

Arrangement two

The following is a DFT calculation (PBE-GGA) of Na3BiS3 after structural relaxation.

Fermi-level density of states (states/eV per cell): 0.0

Cell lengths 8.118, 8.118, 8.118 Å; angles 58.57, 58.57, 58.57 degrees
Fractional coordinates of all 14 atoms:
Na: 0.135 0.378 0.817
Na: 0.183 0.865 0.622
Na: 0.378 0.817 0.135
Na: 0.622 0.183 0.865
Na: 0.817 0.135 0.378
Na: 0.865 0.622 0.183
Bi: 0.320 0.320 0.320
Bi: 0.680 0.680 0.680
S: 0.050 0.718 0.476
S: 0.282 0.524 0.950
S: 0.476 0.050 0.718
S: 0.524 0.950 0.282
S: 0.718 0.476 0.050
S: 0.950 0.282 0.524

***

arrangement two is the most stable structure; the next one sits 0.053 eV/atom above it.

***

Arrangement one

The following is a DFT calculation (PBE-GGA) of NaBi3S after structural relaxation.

Fermi-level density of states (states/eV per cell): 5.3

Cell lengths 5.503, 5.503, 5.503 Å; angles 90.00, 90.00, 90.00 degrees
Fractional coordinates of all 5 atoms:
Na: 0.000 0.000 0.000
Bi: 0.000 0.500 0.500
Bi: 0.500 0.000 0.500
Bi: 0.500 0.500 0.000
S: 0.500 0.500 0.500

***

Arrangement two

The following is a DFT calculation (PBE-GGA) of NaBi3S after structural relaxation.

Fermi-level density of states (states/eV per cell): 9.9

Cell lengths 5.467, 5.467, 5.467 Å; angles 90.00, 90.00, 90.00 degrees
Fractional coordinates of all 5 atoms:
Na: 0.000 0.000 0.000
Bi: 0.000 0.000 0.500
Bi: 0.000 0.500 0.000
Bi: 0.500 0.000 0.000
S: 0.500 0.500 0.500

***

arrangement one is the most stable structure; the next one sits 0.726 eV/atom above it.

***

Arrangement one

The following is a DFT calculation (PBE-GGA) of Na3BiS after structural relaxation.

Fermi-level density of states (states/eV per cell): 3.3

Cell lengths 5.900, 5.900, 5.900 Å; angles 90.00, 90.00, 90.00 degrees
Fractional coordinates of all 5 atoms:
Na: 0.000 0.000 0.500
Na: 0.000 0.500 0.000
Na: 0.500 0.000 0.000
Bi: 0.000 0.000 0.000
S: 0.500 0.500 0.500

***

Arrangement two

The following is a DFT calculation (PBE-GGA) of Na3BiS after structural relaxation.

Fermi-level density of states (states/eV per cell): 3.0

Cell lengths 5.352, 5.352, 5.352 Å; angles 90.00, 90.00, 90.00 degrees
Fractional coordinates of all 5 atoms:
Na: 0.000 0.000 0.500
Na: 0.000 0.500 0.000
Na: 0.500 0.000 0.000
Bi: 0.500 0.500 0.500
S: 0.000 0.000 0.000

***

arrangement two is the most stable structure; the next one sits 0.578 eV/atom above it.

***

Arrangement one

The following is a DFT calculation (PBE-GGA) of Na2BiSb after structural relaxation.

Fermi-level density of states (states/eV per cell): 1.8

Cell lengths 5.920, 3.396, 5.939 Å; angles 90.00, 110.91, 90.00 degrees
Fractional coordinates of all 4 atoms:
Na: 0.000 0.000 0.000
Na: 0.486 0.000 0.514
Bi: 0.979 0.500 0.493
Sb: 0.502 0.500 0.016

***

Arrangement two

The following is a DFT calculation (PBE-GGA) of Na2BiSb after structural relaxation.

Fermi-level density of states (states/eV per cell): 7.2

Cell lengths 7.619, 7.619, 7.619 Å; angles 90.00, 90.00, 90.00 degrees
Fractional coordinates of all 16 atoms:
Na: 0.250 0.250 0.250
Na: 0.250 0.250 0.750
Na: 0.250 0.750 0.250
Na: 0.250 0.750 0.750
Na: 0.750 0.250 0.250
Na: 0.750 0.250 0.750
Na: 0.750 0.750 0.250
Na: 0.750 0.750 0.750
Bi: 0.000 0.000 0.000
Bi: 0.000 0.500 0.500
Bi: 0.500 0.000 0.500
Bi: 0.500 0.500 0.000
Sb: 0.000 0.000 0.500
Sb: 0.000 0.500 0.000
Sb: 0.500 0.000 0.000
Sb: 0.500 0.500 0.500

***

Arrangement three

The following is a DFT calculation (PBE-GGA) of Na2BiSb after structural relaxation.

Fermi-level density of states (states/eV per cell): 9.0

Cell lengths 3.524, 3.524, 31.313 Å; angles 90.00, 90.00, 120.00 degrees
Fractional coordinates of all 12 atoms:
Na: 0.000 0.000 0.248
Na: 0.000 0.000 0.752
Na: 0.333 0.667 0.419
Na: 0.333 0.667 0.914
Na: 0.667 0.333 0.086
Na: 0.667 0.333 0.581
Bi: 0.000 0.000 0.000
Bi: 0.333 0.667 0.667
Bi: 0.667 0.333 0.333
Sb: 0.000 0.000 0.500
Sb: 0.333 0.667 0.167
Sb: 0.667 0.333 0.833

***

arrangement one is the most stable structure; the next one sits 0.082 eV/atom above it.

***

Arrangement one

The following is a DFT calculation (PBE-GGA) of Na2BiSb after structural relaxation.

Fermi-level density of states (states/eV per cell): 0.8

Cell lengths 3.373, 3.373, 9.765 Å; angles 90.00, 90.00, 90.00 degrees
Fractional coordinates of all 4 atoms:
Na: 0.000 0.000 0.240
Na: 0.000 0.000 0.760
Bi: 0.500 0.500 0.500
Sb: 0.500 0.500 0.000

***

Arrangement two

The following is a DFT calculation (PBE-GGA) of Na2BiSb after structural relaxation.

Fermi-level density of states (states/eV per cell): 10.5

Cell lengths 8.988, 8.988, 6.169 Å; angles 90.00, 90.00, 90.00 degrees
Fractional coordinates of all 16 atoms:
Na: 0.236 0.250 0.125
Na: 0.250 0.736 0.375
Na: 0.250 0.764 0.875
Na: 0.264 0.250 0.625
Na: 0.736 0.750 0.625
Na: 0.750 0.236 0.875
Na: 0.750 0.264 0.375
Na: 0.764 0.750 0.125
Bi: 0.000 0.000 0.500
Bi: 0.000 0.500 0.750
Bi: 0.500 0.000 0.250
Bi: 0.500 0.500 0.000
Sb: 0.000 0.000 0.000
Sb: 0.000 0.500 0.250
Sb: 0.500 0.000 0.750
Sb: 0.500 0.500 0.500

***

arrangement one is the most stable structure; the next one sits 0.252 eV/atom above it.

***

Arrangement one

The following is a DFT calculation (PBE-GGA) of NaBi2Sb2 after structural relaxation.

Fermi-level density of states (states/eV per cell): 4.2

Cell lengths 5.904, 5.904, 10.493 Å; angles 90.00, 90.00, 90.00 degrees
Fractional coordinates of all 10 atoms:
Na: 0.000 0.000 0.000
Na: 0.500 0.500 0.500
Bi: 0.000 0.000 0.347
Bi: 0.000 0.000 0.653
Bi: 0.500 0.500 0.153
Bi: 0.500 0.500 0.847
Sb: 0.000 0.500 0.250
Sb: 0.000 0.500 0.750
Sb: 0.500 0.000 0.250
Sb: 0.500 0.000 0.750

***

Arrangement two

The following is a DFT calculation (PBE-GGA) of NaBi2Sb2 after structural relaxation.

Fermi-level density of states (states/eV per cell): 6.8

Cell lengths 8.563, 8.563, 4.264 Å; angles 90.00, 90.00, 90.00 degrees
Fractional coordinates of all 10 atoms:
Na: 0.000 0.000 0.000
Na: 0.500 0.500 0.000
Bi: 0.152 0.348 0.500
Bi: 0.348 0.848 0.500
Bi: 0.652 0.152 0.500
Bi: 0.848 0.652 0.500
Sb: 0.152 0.652 0.000
Sb: 0.348 0.152 0.000
Sb: 0.652 0.848 0.000
Sb: 0.848 0.348 0.000

***

Arrangement three

The following is a DFT calculation (PBE-GGA) of NaBi2Sb2 after structural relaxation.

Fermi-level density of states (states/eV per cell): 6.3

Cell lengths 4.638, 4.638, 15.728 Å; angles 90.00, 90.00, 90.00 degrees
Fractional coordinates of all 10 atoms:
Na: 0.000 0.000 0.000
Na: 0.500 0.500 0.500
Bi: 0.000 0.500 0.250
Bi: 0.000 0.500 0.750
Bi: 0.500 0.000 0.250
Bi: 0.500 0.000 0.750
Sb: 0.000 0.000 0.409
Sb: 0.000 0.000 0.591
Sb: 0.500 0.500 0.091
Sb: 0.500 0.500 0.909

***

arrangement two is the most stable structure; the next one sits 0.007 eV/atom above it.

***

Arrangement one

The following is a DFT calculation (PBE-GGA) of Na3BiSb after structural relaxation.

Fermi-level density of states (states/eV per cell): 3.4

Cell lengths 6.620, 5.194, 8.999 Å; angles 90.00, 90.01, 90.00 degrees
Fractional coordinates of all 10 atoms:
Na: 0.236 0.250 0.058
Na: 0.237 0.250 0.442
Na: 0.248 0.750 0.749
Na: 0.752 0.250 0.251
Na: 0.763 0.750 0.558
Na: 0.764 0.750 0.942
Bi: 0.470 0.750 0.250
Bi: 0.530 0.250 0.750
Sb: 0.021 0.750 0.250
Sb: 0.979 0.250 0.750

***

Arrangement two

The following is a DFT calculation (PBE-GGA) of Na3BiSb after structural relaxation.

Fermi-level density of states (states/eV per cell): 3.1

Cell lengths 5.878, 5.878, 5.878 Å; angles 90.00, 90.00, 90.00 degrees
Fractional coordinates of all 5 atoms:
Na: 0.000 0.000 0.500
Na: 0.000 0.500 0.000
Na: 0.500 0.000 0.000
Bi: 0.500 0.500 0.500
Sb: 0.000 0.000 0.000

***

Arrangement three

The following is a DFT calculation (PBE-GGA) of Na3BiSb after structural relaxation.

Fermi-level density of states (states/eV per cell): 2.6

Cell lengths 5.967, 5.967, 5.967 Å; angles 90.00, 90.00, 90.00 degrees
Fractional coordinates of all 5 atoms:
Na: 0.000 0.000 0.500
Na: 0.000 0.500 0.000
Na: 0.500 0.000 0.000
Bi: 0.000 0.000 0.000
Sb: 0.500 0.500 0.500

***

Arrangement four

The following is a DFT calculation (PBE-GGA) of Na3BiSb after structural relaxation.

Fermi-level density of states (states/eV per cell): 1.7

Cell lengths 5.110, 6.590, 9.331 Å; angles 90.00, 105.80, 90.05 degrees
Fractional coordinates of all 10 atoms:
Na: 0.099 0.009 0.197
Na: 0.099 0.492 0.196
Na: 0.278 0.249 0.554
Na: 0.722 0.751 0.446
Na: 0.901 0.508 0.804
Na: 0.901 0.991 0.803
Bi: 0.497 0.249 0.993
Bi: 0.503 0.751 0.007
Sb: 0.332 0.749 0.665
Sb: 0.668 0.251 0.335

***

arrangement one is the most stable structure; the next one sits 0.006 eV/atom above it.